This record from the Alexandria database describes a relaxed structure of SbAuSe2. The functional is PBE.

Calculated values
Raw formation energy (eV per atom): -0.080
Energy (eV for the cell shown): -58.760

```
data_SbAuSe2
_symmetry_space_group_name_H-M 'P 1'
_symmetry_Int_Tables_number 1
_symmetry_space_group_name_Hall 'P 1'
_cell_length_a 6.646
_cell_length_b 8.232
_cell_length_c 8.267
_cell_angle_alpha 90.00
_cell_angle_beta 90.00
_cell_angle_gamma 90.00
loop_
_atom_site_label
_atom_site_type_symbol
_atom_site_fract_x
_atom_site_fract_y
_atom_site_fract_z
Sb1 Sb 0.959 0.656 0.429
Sb2 Sb 0.459 0.344 0.571
Sb3 Sb 0.459 0.844 0.929
Sb4 Sb 0.959 0.156 0.071
Au1 Au 0.076 0.672 0.843
Au2 Au 0.576 0.828 0.343
Au3 Au 0.076 0.172 0.657
Au4 Au 0.576 0.328 0.157
Se1 Se 0.350 0.088 0.168
Se2 Se 0.350 0.588 0.332
Se3 Se 0.850 0.912 0.832
Se4 Se 0.850 0.412 0.668
Se5 Se 0.888 0.499 0.154
Se6 Se 0.388 0.501 0.846
Se7 Se 0.388 0.001 0.654
Se8 Se 0.888 0.999 0.346
```

This record from the Alexandria database describes a relaxed structure of SbAuSe2. The functional is PBE.

Calculated values
Raw formation energy (eV per atom): 0.161
Energy (eV for the cell shown): -13.724

```
data_SbAuSe2
_symmetry_space_group_name_H-M 'P 1'
_symmetry_Int_Tables_number 1
_symmetry_space_group_name_Hall 'P 1'
_cell_length_a 4.364
_cell_length_b 4.364
_cell_length_c 7.489
_cell_angle_alpha 90.00
_cell_angle_beta 90.00
_cell_angle_gamma 126.51
loop_
_atom_site_label
_atom_site_type_symbol
_atom_site_fract_x
_atom_site_fract_y
_atom_site_fract_z
Au1 Au 0.500 0.500 0.250
Sb1 Sb 0.500 0.500 0.750
Se1 Se 0.000 0.000 0.014
Se2 Se 0.000 0.000 0.486
```

This record from the Alexandria database describes a relaxed structure of Sb2Au2Se. The functional is PBE.

Calculated values
Polymorph energy (0 for the lowest one) (meV per atom): 128
Raw formation energy (eV per atom): 0.203
Energy (eV for the cell shown): -17.271

```
data_Sb2Au2Se
_symmetry_space_group_name_H-M 'P 1'
_symmetry_Int_Tables_number 1
_symmetry_space_group_name_Hall 'P 1'
_cell_length_a 5.562
_cell_length_b 5.562
_cell_length_c 5.614
_cell_angle_alpha 60.31
_cell_angle_beta 60.31
_cell_angle_gamma 90.00
loop_
_atom_site_label
_atom_site_type_symbol
_atom_site_fract_x
_atom_site_fract_y
_atom_site_fract_z
Sb1 Sb 0.750 0.250 0.500
Sb2 Sb 0.250 0.750 0.500
Au1 Au 0.334 0.334 0.332
Au2 Au 0.666 0.666 0.668
Se1 Se 0.000 0.000 0.000
```

This record from the Alexandria database describes a relaxed structure of SbAu2Se. The functional is PBE.

Calculated values
Raw formation energy (eV per atom): 0.257
Energy (eV for the cell shown): -13.135

```
data_SbAu2Se
_symmetry_space_group_name_H-M 'P 1'
_symmetry_Int_Tables_number 1
_symmetry_space_group_name_Hall 'P 1'
_cell_length_a 5.987
_cell_length_b 5.940
_cell_length_c 2.924
_cell_angle_alpha 85.27
_cell_angle_beta 71.04
_cell_angle_gamma 115.09
loop_
_atom_site_label
_atom_site_type_symbol
_atom_site_fract_x
_atom_site_fract_y
_atom_site_fract_z
Au1 Au 0.000 0.000 0.000
Au2 Au 0.500 0.000 0.500
Sb1 Sb 0.000 0.500 0.500
Se1 Se 0.500 0.500 0.000
```

This record from the Alexandria database describes a relaxed structure of SbAu2Se. The functional is PBE.

Calculated values
Raw formation energy (eV per atom): 0.206
Energy (eV for the cell shown): -13.336

```
data_SbAu2Se
_symmetry_space_group_name_H-M 'P 1'
_symmetry_Int_Tables_number 1
_symmetry_space_group_name_Hall 'P 1'
_cell_length_a 3.021
_cell_length_b 3.021
_cell_length_c 9.489
_cell_angle_alpha 90.00
_cell_angle_beta 90.00
_cell_angle_gamma 89.49
loop_
_atom_site_label
_atom_site_type_symbol
_atom_site_fract_x
_atom_site_fract_y
_atom_site_fract_z
Au1 Au 0.000 0.000 0.015
Au2 Au 0.500 0.500 0.233
Sb1 Sb 0.000 0.000 0.466
Se1 Se 0.500 0.500 0.787
```

This record from the Alexandria database describes a relaxed structure of SbAuSe2. The functional is PBE.

Calculated values
Raw formation energy (eV per atom): 0.104
Energy (eV for the cell shown): -13.952

```
data_SbAuSe2
_symmetry_space_group_name_H-M 'P 1'
_symmetry_Int_Tables_number 1
_symmetry_space_group_name_Hall 'P 1'
_cell_length_a 6.434
_cell_length_b 6.434
_cell_length_c 6.434
_cell_angle_alpha 137.37
_cell_angle_beta 144.13
_cell_angle_gamma 56.90
loop_
_atom_site_label
_atom_site_type_symbol
_atom_site_fract_x
_atom_site_fract_y
_atom_site_fract_z
Au1 Au 0.750 0.250 0.500
Sb1 Sb 0.250 0.750 0.500
Se1 Se 0.089 0.089 0.000
Se2 Se 0.411 0.411 0.000
```

This record from the Alexandria database describes a relaxed structure of SbAuSe. The functional is PBE.

Calculated values
Raw formation energy (eV per atom): -0.122
Energy (eV for the cell shown): -22.499

```
data_SbAuSe
_symmetry_space_group_name_H-M 'P 1'
_symmetry_Int_Tables_number 1
_symmetry_space_group_name_Hall 'P 1'
_cell_length_a 4.050
_cell_length_b 5.074
_cell_length_c 7.812
_cell_angle_alpha 90.00
_cell_angle_beta 90.00
_cell_angle_gamma 90.00
loop_
_atom_site_label
_atom_site_type_symbol
_atom_site_fract_x
_atom_site_fract_y
_atom_site_fract_z
Sb1 Sb 0.000 0.053 0.385
Sb2 Sb 0.500 0.947 0.885
Au1 Au 0.000 0.241 0.018
Au2 Au 0.500 0.759 0.518
Se1 Se 0.500 0.552 0.105
Se2 Se 0.000 0.448 0.605
```

This record from the Alexandria database describes a relaxed structure of SbAu3Se4. The functional is PBE.

Calculated values
Raw formation energy (eV per atom): -0.030
Energy (eV for the cell shown): -56.257

```
data_SbAu3Se4
_symmetry_space_group_name_H-M 'P 1'
_symmetry_Int_Tables_number 1
_symmetry_space_group_name_Hall 'P 1'
_cell_length_a 8.252
_cell_length_b 7.722
_cell_length_c 7.577
_cell_angle_alpha 90.00
_cell_angle_beta 90.00
_cell_angle_gamma 90.00
loop_
_atom_site_label
_atom_site_type_symbol
_atom_site_fract_x
_atom_site_fract_y
_atom_site_fract_z
Sb1 Sb 0.012 0.195 0.000
Sb2 Sb 0.512 0.805 0.500
Au1 Au 0.596 0.881 0.000
Au2 Au 0.935 0.771 0.189
Au3 Au 0.435 0.229 0.311
Au4 Au 0.096 0.119 0.500
Au5 Au 0.435 0.229 0.689
Au6 Au 0.935 0.771 0.811
Se1 Se 0.159 0.886 0.000
Se2 Se 0.561 0.195 0.000
Se3 Se 0.159 0.354 0.260
Se4 Se 0.659 0.646 0.240
Se5 Se 0.061 0.805 0.500
Se6 Se 0.659 0.114 0.500
Se7 Se 0.659 0.646 0.760
Se8 Se 0.159 0.354 0.740
```

This record from the Alexandria database describes a relaxed structure of Sb2Au2Se. The functional is PBE.

Calculated values
Polymorph energy (0 for the lowest one) (meV per atom): 80
Raw formation energy (eV per atom): 0.154
Energy (eV for the cell shown): -35.030

```
data_Sb2Au2Se
_symmetry_space_group_name_H-M 'P 1'
_symmetry_Int_Tables_number 1
_symmetry_space_group_name_Hall 'P 1'
_cell_length_a 7.681
_cell_length_b 7.681
_cell_length_c 3.877
_cell_angle_alpha 90.00
_cell_angle_beta 90.00
_cell_angle_gamma 90.00
loop_
_atom_site_label
_atom_site_type_symbol
_atom_site_fract_x
_atom_site_fract_y
_atom_site_fract_z
Sb1 Sb 0.166 0.666 0.500
Sb2 Sb 0.666 0.834 0.500
Sb3 Sb 0.834 0.334 0.500
Sb4 Sb 0.334 0.166 0.500
Au1 Au 0.367 0.867 0.000
Au2 Au 0.867 0.633 0.000
Au3 Au 0.633 0.133 0.000
Au4 Au 0.133 0.367 0.000
Se1 Se 0.000 0.000 0.000
Se2 Se 0.500 0.500 0.000
```

This record from the Alexandria database describes a relaxed structure of SbAuSe2. The functional is PBE.

Calculated values
Raw formation energy (eV per atom): 0.303
Energy (eV for the cell shown): -13.158

```
data_SbAuSe2
_symmetry_space_group_name_H-M 'P 1'
_symmetry_Int_Tables_number 1
_symmetry_space_group_name_Hall 'P 1'
_cell_length_a 3.766
_cell_length_b 4.102
_cell_length_c 6.195
_cell_angle_alpha 90.00
_cell_angle_beta 90.00
_cell_angle_gamma 90.00
loop_
_atom_site_label
_atom_site_type_symbol
_atom_site_fract_x
_atom_site_fract_y
_atom_site_fract_z
Au1 Au 0.500 0.000 0.500
Sb1 Sb 0.000 0.500 0.500
Se1 Se 0.000 0.000 0.000
Se2 Se 0.500 0.500 0.000
```

This record from the Alexandria database describes a relaxed structure of Sb4AuSe. The functional is PBE.

Calculated values
Raw formation energy (eV per atom): 0.523
Energy (eV for the cell shown): -20.112

```
data_Sb4AuSe
_symmetry_space_group_name_H-M 'P 1'
_symmetry_Int_Tables_number 1
_symmetry_space_group_name_Hall 'P 1'
_cell_length_a 6.138
_cell_length_b 6.138
_cell_length_c 6.138
_cell_angle_alpha 60.00
_cell_angle_beta 60.00
_cell_angle_gamma 60.00
loop_
_atom_site_label
_atom_site_type_symbol
_atom_site_fract_x
_atom_site_fract_y
_atom_site_fract_z
Sb1 Sb 0.876 0.375 0.375
Sb2 Sb 0.375 0.375 0.876
Sb3 Sb 0.375 0.876 0.375
Sb4 Sb 0.375 0.375 0.375
Au1 Au 0.000 0.000 0.000
Se1 Se 0.750 0.750 0.750
```

This record from the Alexandria database describes a relaxed structure of SbAu2Se. The functional is PBE.

Calculated values
Raw formation energy (eV per atom): 0.238
Energy (eV for the cell shown): -13.211

```
data_SbAu2Se
_symmetry_space_group_name_H-M 'P 1'
_symmetry_Int_Tables_number 1
_symmetry_space_group_name_Hall 'P 1'
_cell_length_a 5.290
_cell_length_b 5.290
_cell_length_c 5.290
_cell_angle_alpha 129.93
_cell_angle_beta 129.93
_cell_angle_gamma 73.52
loop_
_atom_site_label
_atom_site_type_symbol
_atom_site_fract_x
_atom_site_fract_y
_atom_site_fract_z
Au1 Au 0.000 0.000 0.000
Au2 Au 0.250 0.750 0.500
Sb1 Sb 0.500 0.500 0.000
Se1 Se 0.750 0.250 0.500
```

This record from the Alexandria database describes a relaxed structure of SbAuSe2. The functional is PBE.

Calculated values
Raw formation energy (eV per atom): -0.038
Energy (eV for the cell shown): -14.520

```
data_SbAuSe2
_symmetry_space_group_name_H-M 'P 1'
_symmetry_Int_Tables_number 1
_symmetry_space_group_name_Hall 'P 1'
_cell_length_a 6.427
_cell_length_b 6.427
_cell_length_c 4.044
_cell_angle_alpha 108.32
_cell_angle_beta 108.32
_cell_angle_gamma 36.69
loop_
_atom_site_label
_atom_site_type_symbol
_atom_site_fract_x
_atom_site_fract_y
_atom_site_fract_z
Au1 Au 0.499 0.499 0.499
Sb1 Sb 0.259 0.259 0.258
Se1 Se 0.010 0.010 0.010
Se2 Se 0.733 0.733 0.732
```

This record from the Alexandria database describes a relaxed structure of SbAuSe4. The functional is PBE.

Calculated values
Raw formation energy (eV per atom): 0.625
Energy (eV for the cell shown): -17.587

```
data_SbAuSe4
_symmetry_space_group_name_H-M 'P 1'
_symmetry_Int_Tables_number 1
_symmetry_space_group_name_Hall 'P 1'
_cell_length_a 5.741
_cell_length_b 5.741
_cell_length_c 5.741
_cell_angle_alpha 60.00
_cell_angle_beta 60.00
_cell_angle_gamma 60.00
loop_
_atom_site_label
_atom_site_type_symbol
_atom_site_fract_x
_atom_site_fract_y
_atom_site_fract_z
Sb1 Sb 0.000 0.000 0.000
Au1 Au 0.750 0.750 0.750
Se1 Se 0.871 0.376 0.376
Se2 Se 0.376 0.376 0.871
Se3 Se 0.376 0.871 0.376
Se4 Se 0.376 0.376 0.376
```